Entry 1:
## ScGaCo2 (GGA-PBE)

Data for an optimized crystal structure of ScGaCo2.

It has space group P4/mmm (No. 123), with a = 4.0940 Å, b = 4.0940 Å, c = 3.1777 Å, α = 90.00°, β = 90.00° and γ = 90.00°. The inequivalent atoms are Sc at (0.0000, 0.0000, 0.0000), Ga at (0.5000, 0.5000, 0.0000) and Co at (0.0000, 0.5000, 0.5000).

The calculation puts the formation energy at -0.3907 eV/atom. As for the total magnetization: 0.00 Bohr magnetons per cell. For the total DFT energy (no corrections), the calculation gives -6.2833 eV per atom.

Entry 2:
## KAgPb2Br6 (GGA-PBE)

Data for an optimized crystal structure of KAgPb2Br6.

It has space group P1 (No. 1), with a = 7.7531 Å, b = 7.7625 Å, c = 8.2268 Å, α = 90.00°, β = 118.10° and γ = 119.92°. The inequivalent atoms are K at (0.0000, 0.0000, 0.0000), Ag at (0.9852, 0.4924, 0.4763), Pb at (0.5842, 0.2920, 0.8757), Pb at (0.5975, 0.7987, 0.3958), Br at (0.0903, 0.4258, 0.1801), Br at (0.0918, 0.2132, 0.6633), Br at (0.4509, 0.8786, 0.6641), Br at (0.5151, 0.0893, 0.1783), Br at (0.7528, 0.6629, 0.1781) and Br at (0.7876, 0.5726, 0.6641).

The uncorrected formation energy comes out at -0.95 eV/atom. As for the total magnetization: 0.00 Bohr magnetons per cell. For the total DFT energy (no corrections), the calculation gives -3.0896 eV per atom.

Entry 3:
## IrWCl2 (GGA-PBE)

Data for an optimized crystal structure of IrWCl2.

It has space group Immm (No. 71), with a = 2.8824 Å, b = 4.5668 Å, c = 14.3679 Å, α = 90.00°, β = 90.00° and γ = 90.00°. The inequivalent atoms are Ir at (0.0000, 0.0000, 0.0000), W at (0.0000, 0.0000, 0.5000) and Cl at (0.0000, 0.5000, 0.1406).

As for the excess energy over the best structure of this formula in the dataset: 1.75 eV/f.u. The uncorrected formation energy comes out at 0.25 eV/atom. As for the total magnetization: 1.16 Bohr magnetons per cell. For the total DFT energy (no corrections), the calculation gives -6.1233 eV per atom.

Entry 4:
## TcP2Pb (GGA-PBE)

Data for an optimized crystal structure of TcP2Pb.

It has space group R3m (No. 160, hexagonal axes), with a = 3.2046 Å, b = 3.2046 Å, c = 23.9871 Å, α = 90.00°, β = 90.00° and γ = 120.00°. The inequivalent atoms are Tc at (0.0000, 0.0000, 0.0000), P at (0.0000, 0.0000, 0.4619), P at (0.0000, 0.0000, 0.7324) and Pb at (0.0000, 0.0000, 0.2344).

The calculation puts the formation energy at 0.3317 eV/atom. As for the total magnetization: 0.00 Bohr magnetons per cell. For the total DFT energy (no corrections), the calculation gives -5.8918 eV per atom.

Entry 5:
## OsRuPt (GGA-PBE)

Data for an optimized crystal structure of OsRuPt.

It has space group P4/nmm (No. 129, origin choice 2), with a = 2.7370 Å, b = 2.7370 Å, c = 11.7314 Å, α = 90.00°, β = 90.00° and γ = 90.00°. The inequivalent atoms are Os at (0.2500, 0.2500, 0.0857), Ru at (0.2500, 0.2500, 0.7614) and Pt at (0.2500, 0.2500, 0.4101).

As for the excess energy over the best structure of this formula in the dataset: 0.02 eV/f.u. The calculation puts the formation energy at 0.0223 eV/atom. As for the total magnetization: 0.00 Bohr magnetons per cell. For the total DFT energy (no corrections), the calculation gives -8.8265 eV per atom.

Entry 6:
## In2W (GGA-PBE)

Data for an optimized crystal structure of In2W.

It has space group P4/mmm (No. 123), with a = 4.9455 Å, b = 4.9455 Å, c = 2.8896 Å, α = 90.00°, β = 90.00° and γ = 90.00°. The inequivalent atoms are In at (0.0000, 0.5000, 0.0000) and W at (0.0000, 0.0000, 0.5000).

The calculation puts the formation energy at 0.3923 eV/atom. As for the total magnetization: 0.00 Bohr magnetons per cell. For the total DFT energy (no corrections), the calculation gives -5.7511 eV per atom.

Entry 7:
## LiAcPmO4 (GGA-PBE)

Data for an optimized crystal structure of LiAcPmO4.

It has space group Cmcm (No. 63), with a = 4.9639 Å, b = 13.2633 Å, c = 5.6491 Å, α = 90.00°, β = 90.00° and γ = 90.00°. The inequivalent atoms are Li at (0.0000, 0.2358, 0.2500), Ac at (0.0000, 0.1100, 0.7500), Pm at (0.0000, 0.3810, 0.7500), O at (0.0000, 0.0786, 0.2500), O at (0.0000, 0.4417, 0.2500) and O at (0.2500, 0.2500, 0.0000).

The uncorrected formation energy comes out at -2.70 eV/atom. As for the total magnetization: 1.26 Bohr magnetons per cell. For the total DFT energy (no corrections), the calculation gives -7.0729 eV per atom.

Entry 8:
## CdCoCu2 (GGA-PBE)

Data for an optimized crystal structure of CdCoCu2.

It has space group Pmmm (No. 47), with a = 2.7308 Å, b = 3.5708 Å, c = 5.7110 Å, α = 90.00°, β = 90.00° and γ = 90.00°. The inequivalent atoms are Cd at (0.0000, 0.0000, 0.0000), Co at (0.0000, 0.0000, 0.5000) and Cu at (0.5000, 0.5000, 0.2851).

The calculation puts the formation energy at 0.2083 eV/atom. As for the total magnetization: 1.54 Bohr magnetons per cell. For the total DFT energy (no corrections), the calculation gives -3.8450 eV per atom.

Entry 9:
## OsPbSe2 (GGA-PBE)

Data for an optimized crystal structure of OsPbSe2.

It has space group I4/mmm (No. 139), with a = 5.5582 Å, b = 5.5582 Å, c = 5.6072 Å, α = 90.00°, β = 90.00° and γ = 90.00°. The inequivalent atoms are Os at (0.0000, 0.0000, 0.0000), Pb at (0.0000, 0.0000, 0.5000) and Se at (0.0000, 0.5000, 0.0000).

The uncorrected formation energy comes out at 0.72 eV/atom. As for the total magnetization: 0.00 Bohr magnetons per cell. For the total DFT energy (no corrections), the calculation gives -4.7600 eV per atom.

Entry 10:
## CaSb2Se (GGA-PBE)

Data for an optimized crystal structure of CaSb2Se.

It has space group Cmmm (No. 65), with a = 6.5947 Å, b = 8.5492 Å, c = 3.7188 Å, α = 90.00°, β = 90.00° and γ = 90.00°. The inequivalent atoms are Ca at (0.0000, 0.0000, 0.0000), Sb at (0.2500, 0.2500, 0.5000) and Se at (0.0000, 0.5000, 0.0000).

The uncorrected formation energy comes out at -0.34 eV/atom. As for the total magnetization: 0.00 Bohr magnetons per cell. For the total DFT energy (no corrections), the calculation gives -3.7733 eV per atom.

Entry 11:
## Pr2RhPbO5 (GGA-PBE)

Data for an optimized crystal structure of Pr2RhPbO5.

It has space group P4/mbm (No. 127), with a = 6.8651 Å, b = 6.8651 Å, c = 5.8742 Å, α = 90.00°, β = 90.00° and γ = 90.00°. The inequivalent atoms are Pr at (0.1737, 0.3263, 0.0000), Rh at (0.0000, 0.5000, 0.5000), Pb at (0.0000, 0.0000, 0.5000), O at (0.0000, 0.0000, 0.0000) and O at (0.1393, 0.6393, 0.2495).

The uncorrected formation energy comes out at -2.07 eV/atom. As for the total magnetization: 2.05 Bohr magnetons per cell. For the total DFT energy (no corrections), the calculation gives -7.1188 eV per atom.

Entry 12:
## RbPm2Sn3Se6 (GGA-PBE)

Data for an optimized crystal structure of RbPm2Sn3Se6.

It has space group C2/m (No. 12), with a = 18.8505 Å, b = 4.1994 Å, c = 9.3974 Å, α = 90.00°, β = 99.09° and γ = 90.00°. The inequivalent atoms are Rb at (0.0000, 0.0000, 0.0000), Pm at (0.1707, 0.5000, 0.3387), Sn at (0.0000, 0.0000, 0.5000), Sn at (0.1648, 0.5000, 0.8281), Se at (0.0189, 0.5000, 0.2846), Se at (0.1658, 0.0000, 0.5638) and Se at (0.1877, 0.0000, 0.1232).

The uncorrected formation energy comes out at -1.01 eV/atom. As for the total magnetization: 0.00 Bohr magnetons per cell. For the total DFT energy (no corrections), the calculation gives -4.6251 eV per atom.

Entry 13:
## Sm2YZn2Sn2 (GGA-PBE)

Data for an optimized crystal structure of Sm2YZn2Sn2.

It has space group R-3m (No. 166, hexagonal axes), with a = 4.6246 Å, b = 4.6246 Å, c = 29.0451 Å, α = 90.00°, β = 90.00° and γ = 120.00°. The inequivalent atoms are Sm at (0.0000, 0.0000, 0.1292), Y at (0.0000, 0.0000, 0.0000), Zn at (0.0000, 0.0000, 0.4153) and Sn at (0.0000, 0.0000, 0.2707).

The calculation puts the formation energy at -0.3591 eV/atom. As for the total magnetization: 0.00 Bohr magnetons per cell. For the total DFT energy (no corrections), the calculation gives -4.1385 eV per atom.

Entry 14:
## CaTmMg2Ag4 (GGA-PBE)

Data for an optimized crystal structure of CaTmMg2Ag4.

It has space group R-3m (No. 166, hexagonal axes), with a = 4.9518 Å, b = 4.9518 Å, c = 24.3271 Å, α = 90.00°, β = 90.00° and γ = 120.00°. The inequivalent atoms are Ca at (0.0000, 0.0000, 0.0000), Tm at (0.0000, 0.0000, 0.5000), Mg at (0.0000, 0.0000, 0.2494), Ag at (0.0000, 0.0000, 0.1272) and Ag at (0.0000, 0.0000, 0.3775).

The calculation puts the formation energy at -0.2766 eV/atom. As for the total magnetization: 0.00 Bohr magnetons per cell. For the total DFT energy (no corrections), the calculation gives -2.9100 eV per atom.

Entry 15:
## GeRhN2F (GGA-PBE)

Data for an optimized crystal structure of GeRhN2F.

It has space group P4/mmm (No. 123), with a = 3.8941 Å, b = 3.8941 Å, c = 4.2340 Å, α = 90.00°, β = 90.00° and γ = 90.00°. The inequivalent atoms are Ge at (0.0000, 0.0000, 0.0000), Rh at (0.5000, 0.5000, 0.5000), N at (0.0000, 0.5000, 0.5000) and F at (0.5000, 0.5000, 0.0000).

As for the excess energy over the best structure of this formula in the dataset: 0.00 eV/f.u. The uncorrected formation energy comes out at 0.63 eV/atom. As for the total magnetization: 0.00 Bohr magnetons per cell. For the total DFT energy (no corrections), the calculation gives -5.4661 eV per atom.

Entry 16:
## Zr2TlGa (GGA-PBE)

Data for an optimized crystal structure of Zr2TlGa.

It has space group P4/mmm (No. 123), with a = 4.4440 Å, b = 4.4440 Å, c = 4.2528 Å, α = 90.00°, β = 90.00° and γ = 90.00°. The inequivalent atoms are Zr at (0.0000, 0.5000, 0.0000), Tl at (0.0000, 0.0000, 0.5000) and Ga at (0.5000, 0.5000, 0.5000).

As for the excess energy over the best structure of this formula in the dataset: 0.26 eV/f.u. The calculation puts the formation energy at -0.2594 eV/atom. As for the total magnetization: 0.00 Bohr magnetons per cell. For the total DFT energy (no corrections), the calculation gives -5.8817 eV per atom.

Entry 17:
## LaCr2Ag (GGA-PBE)

Data for an optimized crystal structure of LaCr2Ag.

It has space group P4mm (No. 99), with a = 3.1458 Å, b = 3.1458 Å, c = 7.8283 Å, α = 90.00°, β = 90.00° and γ = 90.00°. The inequivalent atoms are La at (0.0000, 0.0000, 0.0000), Cr at (0.0000, 0.0000, 0.5577), Cr at (0.5000, 0.5000, 0.6939) and Ag at (0.5000, 0.5000, 0.3208).

As for the excess energy over the best structure of this formula in the dataset: 0.00 eV/f.u. The calculation puts the formation energy at 0.2948 eV/atom. As for the total magnetization: 0.34 Bohr magnetons per cell. For the total DFT energy (no corrections), the calculation gives -6.4615 eV per atom.

Entry 18:
## VIrOs2 (GGA-PBE)

Data for an optimized crystal structure of VIrOs2.

It has space group P4/mmm (No. 123), with a = 3.8247 Å, b = 3.8247 Å, c = 3.8607 Å, α = 90.00°, β = 90.00° and γ = 90.00°. The inequivalent atoms are V at (0.0000, 0.0000, 0.0000), Ir at (0.5000, 0.5000, 0.0000) and Os at (0.0000, 0.5000, 0.5000).

As for the excess energy over the best structure of this formula in the dataset: 0.00 eV/f.u. The calculation puts the formation energy at -0.2177 eV/atom. As for the total magnetization: 0.00 Bohr magnetons per cell. For the total DFT energy (no corrections), the calculation gives -10.3274 eV per atom.

Entry 19:
## TiAl6Mo (GGA-PBE)

Data for an optimized crystal structure of TiAl6Mo.

It has space group P4/mmm (No. 123), with a = 3.8110 Å, b = 3.8110 Å, c = 8.4818 Å, α = 90.00°, β = 90.00° and γ = 90.00°. The inequivalent atoms are Ti at (0.0000, 0.0000, 0.0000), Al at (0.0000, 0.0000, 0.5000), Al at (0.0000, 0.5000, 0.2485), Al at (0.5000, 0.5000, 0.0000) and Mo at (0.5000, 0.5000, 0.5000).

The calculation puts the formation energy at -0.3647 eV/atom. As for the total magnetization: 0.00 Bohr magnetons per cell. For the total DFT energy (no corrections), the calculation gives -5.5124 eV per atom.

Entry 20:
## PmRuPb2 (GGA-PBE)

Data for an optimized crystal structure of PmRuPb2.

It has space group R-3m (No. 166, hexagonal axes), with a = 4.6616 Å, b = 4.6616 Å, c = 15.6474 Å, α = 90.00°, β = 90.00° and γ = 120.00°. The inequivalent atoms are Pm at (0.0000, 0.0000, 0.0000), Ru at (0.0000, 0.0000, 0.5000) and Pb at (0.0000, 0.0000, 0.2280).

The calculation puts the formation energy at -0.0710 eV/atom. As for the total magnetization: 0.00 Bohr magnetons per cell. For the total DFT energy (no corrections), the calculation gives -5.4317 eV per atom.

The evaluated density of states at the Fermi level for the records listed, in turn: 0.86 0.00 2.81 2.35 3.08 1.61 3.35 3.50 2.62 2.62 6.55 4.54 6.64 5.26 3.53 2.31 3.35 4.05 2.31 3.34 states/eV/f.u..